First-principles (GGA-PBE) data for crystalline Er7Tl4H at its relaxed geometry, as listed in Alexandria via LeMat-Bulk.

Its final energy is -3.862 eV per atom. Its density of states at the Fermi level is 18.924 states/eV/cell. The calculation puts the calculated volume at 28.36 Å³/atom. As for the crystal system: monoclinic.

The space group is C2/m (No. 12) and the conventional cell measures 15.848, 5.093 and 10.885 Å, with angles of 90.00, 129.22 and 90.00 degrees. The asymmetric unit holds Er at (0.000, 0.000, 0.000), Er at (0.069, 0.500, 0.264), Er at (0.139, 0.000, 0.564), Er at (0.212, 0.500, 0.857), Tl at (0.078, 0.000, 0.791), Tl at (0.221, 0.000, 0.350) and H at (0.000, 0.500, 0.000).